Entry from Alexandria via LeMat-Bulk: DyPuThSn after structural relaxation (PBE).

Lattice parameters (Å, degrees): 5.3799 5.3799 5.3799 60.00 60.00 60.00
Last column: magnetic moment on the atom in μB.
Atoms (fractional coordinates):
Dy1 0.2500 0.2500 0.2500  0.19
Sn1 0.0000 0.0000 0.0000  -0.02
Th1 0.5000 0.5000 0.5000  0.54
Pu1 0.7500 0.7500 0.7500  5.50

## Properties
Calculated volume (Å³/atom): 27.5

Entry from Alexandria via LeMat-Bulk: DyPu2Zn2Sn2 after structural relaxation (PBE).

Lattice parameters (Å, degrees): 4.6350 4.6350 9.3265 75.61 75.61 60.00
Last column: magnetic moment on the atom in μB.
Atoms (fractional coordinates):
Dy1 0.0000 0.0000 0.0000  0.09
Pu1 0.1437 0.1437 0.5689  5.66
Pu2 0.8563 0.8563 0.4311  5.66
Zn1 0.5749 0.5749 0.2753  0.02
Zn2 0.4251 0.4251 0.7247  0.02
Sn1 0.7323 0.7323 0.8031  -0.02
Sn2 0.2677 0.2677 0.1969  -0.02

## Properties
Calculated volume (Å³/atom): 23.7

Entry from Alexandria via LeMat-Bulk: DyPuZnSn after structural relaxation (PBE).

Lattice parameters (Å, degrees): 5.2200 5.2200 5.2200 60.00 60.00 60.00
Last column: magnetic moment on the atom in μB.
Atoms (fractional coordinates):
Zn1 0.7500 0.7500 0.7500  0.04
Dy1 0.5000 0.5000 0.5000  0.32
Sn1 0.2500 0.2500 0.2500  -0.05
Pu1 0.0000 0.0000 0.0000  5.50

## Properties
Calculated volume (Å³/atom): 25.1

Entry from Alexandria via LeMat-Bulk: Tb3Dy2Pu after structural relaxation (PBE).

Lattice parameters (Å, degrees): 11.3799 8.8344 8.8344 41.64 49.90 49.90
Last column: magnetic moment on the atom in μB.
Atoms (fractional coordinates):
Tb1 0.5000 0.2500 0.7500  -0.14
Tb2 0.5000 0.7500 0.2500  -0.14
Tb3 0.2321 0.0179 0.5179  0.03
Tb4 0.7679 0.4821 0.9821  0.03
Tb5 0.7679 0.9821 0.4821  0.03
Tb6 0.2321 0.5179 0.0179  0.03
Dy1 0.8437 0.4029 0.4029  0.06
Dy2 0.6495 0.0971 0.0971  0.06
Dy3 0.3505 0.9029 0.9029  0.06
Dy4 0.1563 0.5971 0.5971  0.06
Pu1 0.0000 0.5000 0.5000  5.55
Pu2 0.0000 0.0000 0.0000  5.55

## Properties
Calculated volume (Å³/atom): 35.6

Entry from Alexandria via LeMat-Bulk: Tb7Dy12Pu after structural relaxation (PBE).

Lattice parameters (Å, degrees): 8.7225 8.7225 8.7225 99.30 99.30 99.30
Last column: magnetic moment on the atom in μB.
Atoms (fractional coordinates):
Tb1 0.1001 0.6646 0.1001  -0.03
Tb2 0.3354 0.8999 0.8999  -0.03
Tb3 0.8999 0.8999 0.3354  -0.03
Tb4 0.5000 0.5000 0.5000  0.02
Tb5 0.1001 0.1001 0.6646  -0.03
Tb6 0.6646 0.1001 0.1001  -0.03
Tb7 0.8999 0.3354 0.8999  -0.03
Dy1 0.7599 0.2401 0.5000  -0.07
Dy2 0.7599 0.5000 0.2401  -0.07
Dy3 0.3527 0.0854 0.3527  -0.01
Dy4 0.9146 0.6473 0.6473  -0.01
Dy5 0.5000 0.2401 0.7599  -0.07
Dy6 0.6473 0.6473 0.9146  -0.01
Dy7 0.3527 0.3527 0.0854  -0.01
Dy8 0.5000 0.7599 0.2401  -0.07
Dy9 0.0854 0.3527 0.3527  -0.01
Dy10 0.6473 0.9146 0.6473  -0.01
Dy11 0.2401 0.5000 0.7599  -0.07
Dy12 0.2401 0.7599 0.5000  -0.07
Pu1 0.0000 0.0000 0.0000  5.75

## Properties
Calculated volume (Å³/atom): 31.7
Offset from the most stable computed form (meV per atom): 0

Entry from Alexandria via LeMat-Bulk: TbDyPu2 after structural relaxation (PBE).

Lattice parameters (Å, degrees): 3.4055 3.4055 10.0944 90.00 90.00 90.00
Last column: magnetic moment on the atom in μB.
Atoms (fractional coordinates):
Dy1 0.5000 0.5000 0.5000  0.30
Tb1 0.5000 0.5000 0.0000  0.26
Pu1 0.0000 0.0000 0.7493  5.58
Pu2 0.0000 0.0000 0.2507  5.58

## Properties
Calculated volume (Å³/atom): 29.3
Offset from the most stable computed form (meV per atom): 0

Entry from Alexandria via LeMat-Bulk: Tb2Dy2Pu after structural relaxation (PBE).

Lattice parameters (Å, degrees): 5.9438 6.7286 8.8949 112.22 109.52 90.00
Last column: magnetic moment on the atom in μB.
Atoms (fractional coordinates):
Tb1 0.1890 0.8432 0.3779  -0.01
Tb2 0.8110 0.1568 0.6221  -0.01
Tb3 0.3110 0.4653 0.6221  -0.01
Tb4 0.6890 0.5347 0.3779  -0.01
Dy1 0.5874 0.9546 0.1749  0.03
Dy2 0.4126 0.0454 0.8251  0.03
Dy3 0.9126 0.7797 0.8251  0.03
Dy4 0.0874 0.2203 0.1749  0.03
Pu1 0.2500 0.5000 0.0000  5.58
Pu2 0.7500 0.5000 0.0000  5.58

## Properties
Calculated volume (Å³/atom): 30.7

Entry from Alexandria via LeMat-Bulk: Tb14DyPu after structural relaxation (PBE).

Lattice parameters (Å, degrees): 7.1072 7.1072 10.0023 90.00 90.00 90.00
Last column: magnetic moment on the atom in μB.
Atoms (fractional coordinates):
Tb1 0.3750 0.6250 0.5000  0.10
Tb2 0.8750 0.1250 0.5000  0.04
Tb3 0.8748 0.6248 0.0000  -0.06
Tb4 0.8751 0.6251 0.5000  0.03
Tb5 0.3752 0.1252 0.0000  -0.06
Tb6 0.3749 0.1249 0.5000  0.03
Tb7 0.6266 0.8766 0.7522  -0.02
Tb8 0.6266 0.8766 0.2478  -0.02
Tb9 0.1234 0.3734 0.7522  -0.02
Tb10 0.1234 0.3734 0.2478  -0.02
Tb11 0.1233 0.8767 0.7523  -0.03
Tb12 0.1233 0.8767 0.2477  -0.03
Tb13 0.6267 0.3733 0.7521  -0.02
Tb14 0.6267 0.3733 0.2479  -0.02
Dy1 0.3750 0.6250 0.0000  0.04
Pu1 0.8751 0.1249 0.0000  -5.55

## Properties
Calculated volume (Å³/atom): 31.6

Entry from Alexandria via LeMat-Bulk: Tb4Dy5Pu after structural relaxation (PBE).

Lattice parameters (Å, degrees): 5.4298 8.1432 8.1432 83.62 70.53 70.53
Last column: magnetic moment on the atom in μB.
Atoms (fractional coordinates):
Tb1 0.5008 0.3249 0.6751  -0.07
Tb2 0.8257 0.6751 0.6751  -0.07
Tb3 0.1759 0.3249 0.3249  -0.07
Tb4 0.5008 0.6751 0.3249  -0.07
Dy1 0.8171 0.3677 0.0000  0.09
Dy2 0.1847 0.0000 0.6323  0.09
Dy3 0.8171 0.0000 0.3677  0.09
Dy4 0.1848 0.6323 0.0000  0.09
Dy5 0.5016 0.0000 0.0000  0.39
Pu1 0.0017 0.0000 0.0000  5.75

## Properties
Calculated volume (Å³/atom): 32.0
Offset from the most stable computed form (meV per atom): 193

Entry from Alexandria via LeMat-Bulk: Tb2Dy7Pu after structural relaxation (PBE).

Lattice parameters (Å, degrees): 3.4357 10.1481 10.1481 108.17 90.00 90.00
Last column: magnetic moment on the atom in μB.
Atoms (fractional coordinates):
Tb1 0.5000 0.8353 0.1647  -0.03
Tb2 0.5000 0.1647 0.8353  -0.03
Dy1 0.0000 0.6739 0.3261  0.10
Dy2 0.0000 0.3261 0.6739  0.10
Dy3 0.5000 0.1299 0.3885  0.04
Dy4 0.5000 0.8701 0.6115  0.04
Dy5 0.5000 0.3885 0.1299  0.04
Dy6 0.5000 0.6115 0.8701  0.04
Dy7 0.5000 0.5000 0.5000  0.01
Pu1 0.0000 0.0000 0.0000  -5.56

## Properties
Calculated volume (Å³/atom): 33.6

Entry from Alexandria via LeMat-Bulk: Tb12Dy7Pu after structural relaxation (PBE).

Lattice parameters (Å, degrees): 9.7873 9.7873 9.7873 109.47 109.47 109.47
Last column: magnetic moment on the atom in μB.
Atoms (fractional coordinates):
Tb1 0.4999 0.7497 0.7503  -0.02
Tb2 0.9994 0.7497 0.2497  -0.02
Tb3 0.5001 0.2503 0.2497  -0.02
Tb4 0.0006 0.2503 0.7503  -0.02
Tb5 0.7503 0.0006 0.2503  -0.02
Tb6 0.7503 0.4999 0.7497  -0.02
Tb7 0.2497 0.9994 0.7497  -0.02
Tb8 0.2497 0.5001 0.2503  -0.02
Tb9 0.7497 0.7503 0.4999  -0.02
Tb10 0.2503 0.2497 0.5001  -0.02
Tb11 0.7497 0.2497 0.9994  -0.02
Tb12 0.2503 0.7503 0.0006  -0.02
Dy1 0.5000 0.5000 0.0000  0.02
Dy2 0.0000 0.5000 0.5000  0.02
Dy3 0.5000 0.0000 0.5000  0.02
Dy4 0.5000 0.5000 0.5000  0.01
Dy5 0.0000 0.0000 0.5000  0.01
Dy6 0.5000 0.0000 0.0000  0.01
Dy7 0.0000 0.5000 0.0000  0.01
Pu1 0.0000 0.0000 0.0000  -5.67

## Properties
Calculated volume (Å³/atom): 36.1
Offset from the most stable computed form (meV per atom): 402

Entry from Alexandria via LeMat-Bulk: TbDyPu after structural relaxation (PBE).

Lattice parameters (Å, degrees): 3.5021 3.5021 7.8089 102.96 102.96 90.00
Last column: magnetic moment on the atom in μB.
Atoms (fractional coordinates):
Dy1 0.6694 0.6694 0.3387  0.03
Tb1 0.9975 0.9975 0.9950  0.02
Pu1 0.3331 0.3331 0.6663  5.62

## Properties
Calculated volume (Å³/atom): 30.3
Offset from the most stable computed form (meV per atom): 0

E_tot values (in eV/atom) by entry order: -7.67 -6.49 -6.38 -5.64 -4.99 -9.29 -6.45 -5.20 -5.33 -5.11 -4.37 -7.74.
N(E_F) values (in states/eV per atom) by entry order: 2.848 2.080 2.360 2.019 1.804 3.630 1.796 1.703 1.274 2.180 1.843 2.354.
DFT formation energy values (in eV/atom) by entry order: -0.09 -0.23 -0.33 0.60 0.11 0.18 0.11 0.04 0.26 0.47 0.73 0.11.